First-principles (PBE) data for a relaxed SiOsPt2 crystal, as listed in the Alexandria database.

```
SiOsPt2
1.0
-1.0320 1.8929 1.7905
-1.6125 -1.9767 1.1604
5.3991 -1.5905 4.7935
Pt Os Si
2 1 1
Direct
0.0000 0.0000 0.4777 Pt
0.0000 0.0000 0.0223 Pt
0.5000 0.5000 0.7500 Os
0.5000 0.5000 0.2500 Si
```

Values from the calculation:
The calculation puts the calculated volume at 58.07 Å³ per cell. The calculation puts the theoretical density at 17.4 g/cm3. The space group is No. 123. The formation energy (no corrections) comes out at 0.03 eV/atom. Its raw total energy is -28.596 eV/cell.

=====

First-principles (PBE) data for a relaxed NaCuCl4 crystal, as listed in the Alexandria database.

```
NaCuCl4
1.0
7.7729 1.7439 0.0000
2.0950 6.6309 0.0000
0.0000 0.0000 6.4646
Cl Cu Na
8 2 2
Direct
0.6162 0.6688 0.6383 Cl
0.7806 0.1413 0.7558 Cl
0.8838 0.3312 0.1383 Cl
0.7194 0.8587 0.2558 Cl
0.2806 0.1413 0.7442 Cl
0.3838 0.3312 0.3617 Cl
0.1162 0.6688 0.8617 Cl
0.2194 0.8587 0.2442 Cl
0.5000 0.0000 0.5000 Cu
0.0000 0.0000 0.0000 Cu
0.0000 0.5000 0.5000 Na
0.5000 0.5000 0.0000 Na
```

Values from the calculation:
The calculation puts the calculated volume at 309.57 Å³ per cell. The calculation puts the theoretical density at 2.4 g/cm3. The space group is No. 14. The formation energy (no corrections) comes out at -0.83 eV/atom. The energy above the most stable polymorph in this dataset is 0.000 eV per atom. Its raw total energy is -35.506 eV/cell.

=====

First-principles (PBE) data for a relaxed Th7In2Hg2 crystal, as listed in the Alexandria database.

```
Th7In2Hg2
1.0
6.9518 -0.0027 -0.9221
0.0034 7.6759 0.0034
-1.3534 -0.0025 6.8809
Th Hg In
7 2 2
Direct
0.4998 0.2610 0.5002 Th
0.0002 0.7012 0.4997 Th
0.9998 0.2988 0.5003 Th
0.4997 0.2988 0.0002 Th
0.5003 0.7012 0.9998 Th
0.0000 0.0000 0.0000 Th
0.5002 0.7390 0.4998 Th
0.7181 0.0000 0.2819 Hg
0.2819 0.0000 0.7181 Hg
0.8318 0.5000 0.8318 In
0.1682 0.5000 0.1682 In
```

Values from the calculation:
The calculation puts the calculated volume at 357.59 Å³ per cell. The calculation puts the theoretical density at 10.5 g/cm3. The space group is No. 65. As for the energy of formation from the pure elements: 192 meV/atom. Its raw total energy is -55.913 eV/cell.

=====

Among the records above, which one has the lowest raw total energy? Th7In2Hg2